First-principles (PBE) data for a relaxed structure of Er2TmMg3, as listed in Alexandria.

Results
Formation energy in meV/atom: -63.4
Electronic total energy in eV for the cell shown: -18.8

a = 3.764 Å, b = 3.764 Å, c = 11.259 Å
α = 90.00°, β = 90.00°, γ = 90.00°
Atoms (fractional coordinates):
Er  0.500  0.500  0.833
Er  0.500  0.500  0.167
Tm  0.500  0.500  0.500
Mg  0.000  0.000  0.000
Mg  0.000  0.000  0.666
Mg  0.000  0.000  0.334